No. 1
Below is a relaxed structure of Zr2Be3GaPt4, with properties calculated at the GGA-PBE level.

## Properties
Symmetry: P-4m2, No. 115
Crystal system: tetragonal
Fermi-level density of states (states/eV per cell): 5.83

Geometry as CIF:
```
data_Zr2Be3GaPt4
_chemical_formula_sum 'Zr2 Be3 Ga1 Pt4'
_cell_length_a 3.9521
_cell_length_b 3.9521
_cell_length_c 9.7102
_cell_angle_alpha 90.00
_cell_angle_beta 90.00
_cell_angle_gamma 90.00
_space_group_name_H-M_alt 'P 1'
_space_group_IT_number 1
_space_group_name_Hall 'P 1'
loop_
_atom_site_label
_atom_site_type_symbol
_atom_site_fract_x
_atom_site_fract_y
_atom_site_fract_z
Zr1 Zr 0.0000 0.5000 0.2429
Zr2 Zr 0.5000 0.0000 0.7571
Be1 Be 0.0000 0.5000 0.8765
Be2 Be 0.5000 0.0000 0.1235
Be3 Be 0.5000 0.5000 0.5000
Ga1 Ga 0.0000 0.0000 0.5000
Pt1 Pt 0.0000 0.0000 0.0000
Pt2 Pt 0.0000 0.5000 0.6496
Pt3 Pt 0.5000 0.0000 0.3504
Pt4 Pt 0.5000 0.5000 0.0000
```

No. 2
Below is a relaxed structure of PuBeGa2, with properties calculated at the GGA-PBE level.

## Properties
Symmetry: Pnma, No. 62
Crystal system: orthorhombic
Fermi-level density of states (states/eV per cell): 28.74
Excess energy over the best structure of this formula in the dataset (eV per formula unit): 0.00

Geometry as CIF:
```
data_PuBeGa2
_chemical_formula_sum 'Pu4 Be4 Ga8'
_cell_length_a 6.2825
_cell_length_b 4.4317
_cell_length_c 9.9921
_cell_angle_alpha 90.00
_cell_angle_beta 90.00
_cell_angle_gamma 90.00
_space_group_name_H-M_alt 'P 1'
_space_group_IT_number 1
_space_group_name_Hall 'P 1'
loop_
_atom_site_label
_atom_site_type_symbol
_atom_site_fract_x
_atom_site_fract_y
_atom_site_fract_z
Pu1 Pu 0.2423 0.2500 0.1470
Pu2 Pu 0.2577 0.7500 0.6470
Pu3 Pu 0.7423 0.2500 0.3530
Pu4 Pu 0.7577 0.7500 0.8530
Be1 Be 0.0485 0.7500 0.3701
Be2 Be 0.4515 0.2500 0.8701
Be3 Be 0.5485 0.7500 0.1299
Be4 Be 0.9515 0.2500 0.6299
Ga1 Ga 0.0735 0.2500 0.8502
Ga2 Ga 0.2204 0.2500 0.4475
Ga3 Ga 0.2796 0.7500 0.9475
Ga4 Ga 0.4265 0.7500 0.3502
Ga5 Ga 0.5735 0.2500 0.6498
Ga6 Ga 0.7204 0.2500 0.0525
Ga7 Ga 0.7796 0.7500 0.5525
Ga8 Ga 0.9265 0.7500 0.1498
```

No. 3
Below is a relaxed structure of PuBeGa3, with properties calculated at the GGA-PBE level.

## Properties
Symmetry: Cm, No. 8
Crystal system: monoclinic
Fermi-level density of states (states/eV per cell): 9.71

Geometry as CIF:
```
data_PuBeGa3
_chemical_formula_sum 'Pu1 Be1 Ga3'
_cell_length_a 4.1008
_cell_length_b 4.1008
_cell_length_c 5.8859
_cell_angle_alpha 110.36
_cell_angle_beta 110.36
_cell_angle_gamma 90.02
_space_group_name_H-M_alt 'P 1'
_space_group_IT_number 1
_space_group_name_Hall 'P 1'
loop_
_atom_site_label
_atom_site_type_symbol
_atom_site_fract_x
_atom_site_fract_y
_atom_site_fract_z
Pu1 Pu 0.0000 0.0000 0.0000
Be1 Be 0.6226 0.6226 0.2468
Ga1 Ga 0.2412 0.7417 0.4833
Ga2 Ga 0.4040 0.4040 0.8079
Ga3 Ga 0.7417 0.2412 0.4833
```

No. 4
Below is a relaxed structure of Pu2BeGa, with properties calculated at the GGA-PBE level.

## Properties
Symmetry: R-3m, No. 166
Crystal system: trigonal
Fermi-level density of states (states/eV per cell): 5.49
Excess energy over the best structure of this formula in the dataset (eV per formula unit): 2.23

Geometry as CIF:
```
data_Pu2BeGa
_chemical_formula_sum 'Pu2 Be1 Ga1'
_cell_length_a 11.3241
_cell_length_b 11.3241
_cell_length_c 11.3241
_cell_angle_alpha 13.31
_cell_angle_beta 13.31
_cell_angle_gamma 13.31
_space_group_name_H-M_alt 'P 1'
_space_group_IT_number 1
_space_group_name_Hall 'P 1'
loop_
_atom_site_label
_atom_site_type_symbol
_atom_site_fract_x
_atom_site_fract_y
_atom_site_fract_z
Pu1 Pu 0.0857 0.0857 0.0857
Pu2 Pu 0.9143 0.9143 0.9143
Be1 Be 0.0000 0.0000 0.0000
Ga1 Ga 0.5000 0.5000 0.5000
```

Taking the records one at a time from the top gives volume values of 15.2, 17.4, 17.2, 16.7 Å³ per atom.
Taking the records one at a time from the top gives DFT formation energy values of -7.7, -0.8, -1.4, 2.3 eV/f.u..